No. 1
# AsP3

An optimized crystal structure of AsP3 (GGA-PBE, Alexandria via LeMat-Bulk).

```
AsP3
1.0
-4.697 -3.330 0.268
-3.123 -3.427 3.425
-1.029 3.484 0.620
P As
3 1
direct
0.745 0.745 0.695
0.255 0.255 0.305
0.500 0.500 0.500
0.000 0.000 0.000
```

Computed properties:
The formation energy is 0.71 eV per formula unit. The distance to the lowest polymorph of the same formula is 11.21 kJ per mole of atoms. For the total magnetization, the calculation gives 0.00 μB per formula unit. As for the raw total energy: -20.17 eV per cell.


No. 2
# As5P

An optimized crystal structure of As5P (GGA-PBE, Alexandria via LeMat-Bulk).

```
As5P
1.0
0.000 3.895 3.895
3.895 0.000 3.895
3.895 3.895 0.000
As P
5 1
direct
0.626 0.626 0.123
0.626 0.123 0.626
0.123 0.626 0.626
0.250 0.250 0.250
0.626 0.626 0.626
0.000 0.000 0.000
```

Computed properties:
The formation energy is 4.75 eV per formula unit. The distance to the lowest polymorph of the same formula is 63.82 kJ per mole of atoms. For the total magnetization, the calculation gives 0.00 μB per formula unit. As for the raw total energy: -23.91 eV per cell.


No. 3
# AsP

An optimized crystal structure of AsP (GGA-PBE, Alexandria via LeMat-Bulk).

```
AsP
1.0
5.735 0.000 -0.012
0.000 3.428 0.000
-0.130 0.000 5.971
As P
2 2
direct
0.128 0.250 0.090
0.872 0.750 0.910
0.897 0.250 0.417
0.103 0.750 0.583
```

Computed properties:
The formation energy is 0.11 eV per formula unit. The distance to the lowest polymorph of the same formula is 0.13 kJ per mole of atoms. For the total magnetization, the calculation gives 0.00 μB per formula unit. As for the raw total energy: -19.90 eV per cell.


No. 4
# AsP

An optimized crystal structure of AsP (GGA-PBE, Alexandria via LeMat-Bulk).

```
AsP
1.0
13.390 0.000 0.000
0.000 3.527 0.000
0.000 0.000 5.631
As P
6 6
direct
0.817 0.000 0.245
0.000 0.000 0.730
0.500 0.500 0.230
0.183 0.000 0.245
0.317 0.500 0.745
0.683 0.500 0.745
0.198 0.000 0.667
0.000 0.500 0.447
0.802 0.000 0.667
0.302 0.500 0.167
0.698 0.500 0.167
0.500 0.000 0.947
```

Computed properties:
The formation energy is 0.32 eV per formula unit. The distance to the lowest polymorph of the same formula is 10.29 kJ per mole of atoms. For the total magnetization, the calculation gives 0.00 μB per formula unit. As for the raw total energy: -58.44 eV per cell.


No. 5
# AsP3

An optimized crystal structure of AsP3 (GGA-PBE, Alexandria via LeMat-Bulk).

```
AsP3
1.0
5.195 0.000 0.000
0.000 3.516 0.000
0.000 0.000 3.891
As P
1 3
direct
0.500 0.000 0.784
0.000 0.500 0.276
0.500 0.500 0.373
0.000 0.000 0.900
```

Computed properties:
The formation energy is 0.45 eV per formula unit. The distance to the lowest polymorph of the same formula is 4.96 kJ per mole of atoms. For the total magnetization, the calculation gives 0.00 μB per formula unit. As for the raw total energy: -20.43 eV per cell.


No. 6
# AsP

An optimized crystal structure of AsP (GGA-PBE, Alexandria via LeMat-Bulk).

```
AsP
1.0
3.203 0.000 0.000
0.000 3.203 0.000
0.000 0.000 8.280
As P
2 2
direct
0.500 0.500 0.207
0.000 0.000 0.043
0.000 0.000 0.589
0.500 0.500 0.661
```

Computed properties:
The formation energy is 0.86 eV per formula unit. The distance to the lowest polymorph of the same formula is 36.58 kJ per mole of atoms. For the total magnetization, the calculation gives 0.00 μB per formula unit. As for the raw total energy: -18.39 eV per cell.


No. 7
# AsP

An optimized crystal structure of AsP (GGA-PBE, Alexandria via LeMat-Bulk).

```
AsP
1.0
3.992 0.034 0.023
2.282 3.276 0.023
2.282 1.204 3.047
P As
1 1
direct
0.227 0.227 0.227
0.773 0.773 0.773
```

Computed properties:
The formation energy is 0.15 eV per formula unit. The distance to the lowest polymorph of the same formula is 2.32 kJ per mole of atoms. For the total magnetization, the calculation gives 0.00 μB per formula unit. As for the raw total energy: -9.91 eV per cell.


No. 8
# AsP3

An optimized crystal structure of AsP3 (GGA-PBE, Alexandria via LeMat-Bulk).

```
AsP3
1.0
-1.326 0.999 -2.960
1.377 -2.612 -1.499
-4.875 -3.202 1.103
As P
1 3
direct
0.000 0.000 0.999
0.500 0.500 0.814
0.500 0.000 0.501
0.000 0.500 0.353
```

Computed properties:
The formation energy is 1.68 eV per formula unit. The distance to the lowest polymorph of the same formula is 34.80 kJ per mole of atoms. For the total magnetization, the calculation gives 0.00 μB per formula unit. As for the raw total energy: -19.20 eV per cell.


No. 9
# As2P3

An optimized crystal structure of As2P3 (GGA-PBE, Alexandria via LeMat-Bulk).

```
As2P3
1.0
0.000 5.328 6.356
2.739 0.000 6.356
2.739 5.328 0.000
As P
4 6
direct
0.459 0.677 0.182
0.573 0.791 0.567
0.068 0.567 0.791
0.683 0.182 0.677
0.616 0.013 0.220
0.237 0.634 0.099
0.841 0.159 0.159
0.151 0.220 0.013
0.091 0.409 0.409
0.030 0.099 0.634
```

Computed properties:
The formation energy is 1.40 eV per formula unit. The distance to the lowest polymorph of the same formula is 0.00 kJ per mole of atoms. For the total magnetization, the calculation gives 0.00 μB per formula unit. As for the raw total energy: -48.26 eV per cell.


No. 10
# AsP3

An optimized crystal structure of AsP3 (GGA-PBE, Alexandria via LeMat-Bulk).

```
AsP3
1.0
-4.308 -1.034 -0.636
0.846 -4.239 1.159
-0.608 0.695 2.988
As P
1 3
direct
0.000 0.000 0.000
0.000 0.500 0.500
0.500 0.500 0.000
0.500 0.000 0.500
```

Computed properties:
The formation energy is 2.77 eV per formula unit. The distance to the lowest polymorph of the same formula is 61.00 kJ per mole of atoms. For the total magnetization, the calculation gives 0.00 μB per formula unit. As for the raw total energy: -18.11 eV per cell.


No. 11
# AsP3

An optimized crystal structure of AsP3 (GGA-PBE, Alexandria via LeMat-Bulk).

```
AsP3
1.0
4.438 0.000 0.000
2.219 3.843 0.000
2.219 1.281 3.623
P As
3 1
direct
0.750 0.750 0.750
0.250 0.250 0.250
0.500 0.500 0.500
0.000 0.000 0.000
```

Computed properties:
The formation energy is 2.79 eV per formula unit. The distance to the lowest polymorph of the same formula is 61.41 kJ per mole of atoms. For the total magnetization, the calculation gives 0.00 μB per formula unit. As for the raw total energy: -18.09 eV per cell.


No. 12
# As5P3

An optimized crystal structure of As5P3 (GGA-PBE, Alexandria via LeMat-Bulk).

```
As5P3
1.0
-2.270 -4.587 4.903
6.298 -0.959 -3.104
3.061 3.852 5.020
As P
10 6
direct
0.333 0.667 0.500
0.225 0.225 0.750
0.775 0.775 0.250
0.667 0.333 0.500
0.667 0.333 0.000
0.333 0.667 0.000
0.000 0.775 0.750
0.000 0.225 0.250
0.225 0.000 0.250
0.775 0.000 0.750
0.570 0.000 0.250
0.570 0.570 0.750
0.430 0.000 0.750
0.000 0.570 0.250
0.000 0.430 0.750
0.430 0.430 0.250
```

Computed properties:
The formation energy is 4.31 eV per formula unit. The distance to the lowest polymorph of the same formula is 36.24 kJ per mole of atoms. For the total magnetization, the calculation gives 0.00 μB per formula unit. As for the raw total energy: -70.33 eV per cell.